Entry 1:
# CsLiSi

A relaxed structure of CsLiSi (PBE-GGA, the Alexandria database).

a b c (Å): 4.4901 5.0957 11.9304
angles (deg): 80.45 88.38 63.96
Space group P-1 (No. 2)
One atom of each set of equivalent atoms:
Cs 0.1977 0.1489 0.2172 (multiplicity 2)
Li 0.3722 0.7497 0.5386 (multiplicity 2)
Si 0.0860 0.3177 0.5762 (multiplicity 2)

Summary:
E_form (uncorrected) (kJ/mol of formula units): -8
Total moment (μB per formula unit): 0.00
E (eV per cell): -16.56
ΔE to the lowest computed polymorph (eV/f.u.): 0.08

***

Entry 2:
# NaAlPb

A relaxed structure of NaAlPb (PBE-GGA, the Alexandria database).

a b c (Å): 5.3933 5.3933 10.5549
angles (deg): 90.00 90.00 120.00
Space group P6_3/mmc (No. 194)
One atom of each set of equivalent atoms:
Na 0.3333 0.6667 0.2500 (multiplicity 2)
Al 0.0000 0.0000 0.2500 (multiplicity 2)
Pb 0.0000 0.0000 0.0000 (multiplicity 2)

Summary:
Energy of formation from the pure elements (kJ per mole of atoms): 60.7
Total moment (μB per formula unit): 0.00
E (eV per cell): -13.76